1.
This record from Alexandria describes a relaxed Sr2Li3Ag12Au crystal. The functional is PBE-GGA.

abc: 11.042 11.042 11.042
angles: 35.24 35.24 35.24
Element x y z (fractional)
Ag1 0.081 0.630 0.081
Ag2 0.630 0.081 0.081
Ag3 0.407 0.407 0.817
Ag4 0.183 0.593 0.593
Ag5 0.593 0.593 0.183
Ag6 0.817 0.407 0.407
Ag7 0.407 0.817 0.407
Ag8 0.919 0.919 0.370
Ag9 0.593 0.183 0.593
Ag10 0.370 0.919 0.919
Ag11 0.081 0.081 0.630
Ag12 0.919 0.370 0.919
Li1 0.000 0.000 0.500
Li2 0.000 0.500 0.000
Li3 0.500 0.000 0.000
Au1 0.000 0.000 0.000
Sr1 0.357 0.357 0.357
Sr2 0.643 0.643 0.643

## Properties
Energy relative to the elements: -0.008 eV/atom
Density of states at the Fermi level: 0.31 states/eV/atom
Space group: R-3m, No. 166

---

2.
This record from Alexandria describes a relaxed SrLi2AgAu2 crystal. The functional is PBE-GGA.

abc: 4.525 4.525 7.161
angles: 90.00 90.00 120.00
Element x y z (fractional)
Au1 0.333 0.667 0.276
Au2 0.667 0.333 0.724
Li1 0.333 0.667 0.648
Li2 0.667 0.333 0.352
Ag1 0.000 0.000 0.500
Sr1 0.000 0.000 0.000

## Properties
Energy relative to the elements: -0.516 eV/atom
Density of states at the Fermi level: 0.27 states/eV/atom
Space group: P-3m1, No. 164

---

3.
This record from Alexandria describes a relaxed Sr2Li3AgAu4 crystal. The functional is PBE-GGA.

abc: 4.481 4.481 11.026
angles: 90.00 90.00 90.00
Element x y z (fractional)
Sr1 0.000 0.500 0.759
Sr2 0.500 0.000 0.241
Li1 0.000 0.000 0.500
Li2 0.500 0.000 0.888
Li3 0.000 0.500 0.112
Au1 0.000 0.000 0.000
Au2 0.000 0.500 0.346
Au3 0.500 0.000 0.654
Au4 0.500 0.500 0.000
Ag1 0.500 0.500 0.500

## Properties
Energy relative to the elements: -0.548 eV/atom
Density of states at the Fermi level: 0.16 states/eV/atom
Space group: P-4m2, No. 115

---

4.
This record from Alexandria describes a relaxed Sr2LiAgAu2 crystal. The functional is PBE-GGA.

abc: 6.314 6.384 8.908
angles: 111.00 110.76 90.00
Element x y z (fractional)
Au1 0.382 0.616 0.231
Au2 0.849 0.116 0.231
Au3 0.151 0.884 0.769
Au4 0.618 0.384 0.769
Li1 0.500 0.750 0.000
Li2 0.500 0.250 0.000
Ag1 0.000 0.750 0.000
Ag2 0.000 0.250 0.000
Sr1 0.072 0.333 0.667
Sr2 0.594 0.833 0.667
Sr3 0.406 0.167 0.333
Sr4 0.928 0.667 0.333

## Properties
Energy relative to the elements: -0.557 eV/atom
Density of states at the Fermi level: 0.31 states/eV/atom
Space group: Ibam, No. 72

---

5.
This record from Alexandria describes a relaxed SrLi2AgAu4 crystal. The functional is PBE-GGA.

abc: 4.524 4.524 9.783
angles: 76.63 76.63 60.00
Element x y z (fractional)
Au1 0.599 0.599 0.202
Au2 0.401 0.401 0.798
Au3 0.879 0.879 0.362
Au4 0.121 0.121 0.638
Li1 0.774 0.774 0.679
Li2 0.226 0.226 0.321
Ag1 0.500 0.500 0.500
Sr1 0.000 0.000 0.000

## Properties
Energy relative to the elements: -0.457 eV/atom
Density of states at the Fermi level: 0.27 states/eV/atom
Space group: R-3m, No. 166

---

6.
This record from Alexandria describes a relaxed SrLiAg2Au crystal. The functional is PBE-GGA.

abc: 4.822 4.822 4.880
angles: 90.00 90.00 90.00
Element x y z (fractional)
Ag1 0.500 0.000 0.000
Ag2 0.000 0.500 0.000
Li1 0.000 0.000 0.000
Au1 0.000 0.000 0.500
Sr1 0.500 0.500 0.500

## Properties
Energy relative to the elements: -0.218 eV/atom
Density of states at the Fermi level: 0.24 states/eV/atom
Space group: P4/mmm, No. 123

---

7.
This record from Alexandria describes a relaxed Sr2LiAgAu6 crystal. The functional is PBE-GGA.

abc: 5.504 9.324 7.144
angles: 49.78 67.34 90.00
Element x y z (fractional)
Au1 0.754 0.742 0.992
Au2 0.747 0.594 0.505
Au3 0.253 0.406 0.495
Au4 0.253 0.742 0.992
Au5 0.747 0.258 0.008
Au6 0.246 0.258 0.008
Sr1 0.743 0.203 0.515
Sr2 0.257 0.797 0.485
Li1 0.500 0.500 0.000
Ag1 0.000 0.000 0.000

## Properties
Energy relative to the elements: -0.469 eV/atom
Density of states at the Fermi level: 0.32 states/eV/atom
Space group: C2/m, No. 12

---

8.
This record from Alexandria describes a relaxed Li2TbAgAu2 crystal. The functional is PBE-GGA.

abc: 4.497 4.497 6.495
angles: 90.00 90.00 120.00
Element x y z (fractional)
Li1 0.667 0.333 0.346
Li2 0.333 0.667 0.654
Au1 0.667 0.333 0.758
Au2 0.333 0.667 0.242
Ag1 0.000 0.000 0.500
Tb1 0.000 0.000 0.000

## Properties
Energy relative to the elements: -0.543 eV/atom
Density of states at the Fermi level: 0.44 states/eV/atom
Space group: P-3m1, No. 164